[1]
Here is a relaxed BaBeAs2 crystal from Alexandria via LeMat-Bulk. Energies are from PBE.

a b c (Å): 5.6689 5.6689 5.6689
angles (deg): 133.28 133.28 68.21
Fractional coordinates of all 4 atoms:
Be: 0.7500 0.2500 0.5000
As: 0.0000 0.0000 0.0000
As: 0.2500 0.7500 0.5000
Ba: 0.5000 0.5000 0.0000

Values from the calculation:
- total DFT energy (no corrections) (eV/cell) = -13.9
- energy relative to the elements (eV/atom) = 0.253
- magnetization (μB per atom) = 0.0000
- calculated volume (Å³/cell) = 94.8
- SG = No. 119

---

[2]
Here is a relaxed SrTi2N3 crystal from Alexandria via LeMat-Bulk. Energies are from PBE.

a b c (Å): 3.4710 4.2103 10.4451
angles (deg): 90.00 90.00 90.00
Fractional coordinates of all 12 atoms:
Sr: 0.2500 0.7501 0.2500
Sr: 0.7500 0.2499 0.7500
Ti: 0.2500 0.7500 0.9383
Ti: 0.7500 0.2500 0.0617
Ti: 0.7500 0.2500 0.4383
Ti: 0.2500 0.7500 0.5617
N: 0.7500 0.2501 0.2500
N: 0.2500 0.7499 0.7500
N: 0.7500 0.7500 0.0405
N: 0.2500 0.2500 0.9595
N: 0.2500 0.2500 0.5405
N: 0.7500 0.7500 0.4595

Values from the calculation:
- total DFT energy (no corrections) (eV/cell) = -102.2
- magnetization (μB per atom) = 0.0000
- calculated volume (Å³/cell) = 152.6
- E_form (uncorrected) (eV/atom) = -1.44
- SG = No. 71

---

[3]
Here is a relaxed Cd3SnHg5 crystal from Alexandria via LeMat-Bulk. Energies are from PBE.

a b c (Å): 6.2324 6.2324 13.4304
angles (deg): 80.40 80.40 86.15
Fractional coordinates of all 18 atoms:
Cd: 0.7862 0.7862 0.8656
Cd: 0.6673 0.6673 0.4922
Cd: 0.0000 0.0000 0.0000
Cd: 0.0000 0.0000 0.5000
Cd: 0.2138 0.2138 0.1344
Cd: 0.3327 0.3327 0.5078
Sn: 0.0946 0.0946 0.7132
Sn: 0.9054 0.9054 0.2868
Hg: 0.8864 0.3820 0.3376
Hg: 0.3264 0.6736 0.0000
Hg: 0.6991 0.6991 0.1341
Hg: 0.4011 0.4011 0.2860
Hg: 0.5989 0.5989 0.7140
Hg: 0.3009 0.3009 0.8659
Hg: 0.3820 0.8864 0.3376
Hg: 0.6736 0.3264 0.0000
Hg: 0.1136 0.6180 0.6624
Hg: 0.6180 0.1136 0.6624

Values from the calculation:
- total DFT energy (no corrections) (eV/cell) = -15.0
- energy relative to the elements (eV/atom) = 0.082
- magnetization (μB per atom) = 0.0000
- energy relative to the lowest polymorph listed for this composition (meV/atom) = 13
- calculated volume (Å³/cell) = 506.8
- SG = No. 12

---

[4]
Here is a relaxed Sr2ZrBr crystal from Alexandria via LeMat-Bulk. Energies are from PBE.

a b c (Å): 9.0980 9.0980 7.4489
angles (deg): 52.36 52.36 90.00
Fractional coordinates of all 8 atoms:
Sr: 0.5769 0.1250 0.2500
Sr: 0.1731 0.6250 0.2500
Sr: 0.3750 0.4231 0.7500
Sr: 0.8750 0.8269 0.7500
Br: 0.5000 0.5000 0.0000
Br: 0.2500 0.7500 0.5000
Zr: 0.0000 0.0000 0.0000
Zr: 0.7500 0.2500 0.5000

Values from the calculation:
- total DFT energy (no corrections) (eV/cell) = -26.3
- magnetization (μB per atom) = 0.7512
- energy relative to the lowest polymorph listed for this composition (meV/atom) = 491
- calculated volume (Å³/cell) = 310.8
- E_form (uncorrected) (eV/atom) = 0.11
- SG = No. 122

---

[5]
Here is a relaxed LiMg3Tl crystal from Alexandria via LeMat-Bulk. Energies are from PBE.

a b c (Å): 5.0390 5.0390 5.0390
angles (deg): 90.00 90.00 90.00
Fractional coordinates of all 5 atoms:
Tl: 0.5000 0.5000 0.5000
Mg: 0.0000 0.5000 0.0000
Mg: 0.0000 0.0000 0.5000
Mg: 0.5000 0.0000 0.0000
Li: 0.0000 0.0000 0.0000

Values from the calculation:
- total DFT energy (no corrections) (eV/cell) = -7.8
- energy relative to the elements (eV/atom) = 0.249
- magnetization (μB per atom) = 0.0000
- energy relative to the lowest polymorph listed for this composition (meV/atom) = 340
- calculated volume (Å³/cell) = 127.9
- SG = No. 221

---

[6]
Here is a relaxed ZrVTcNi crystal from Alexandria via LeMat-Bulk. Energies are from PBE.

a b c (Å): 4.4257 4.4257 4.4257
angles (deg): 60.00 60.00 60.00
Fractional coordinates of all 4 atoms:
Ni: 0.5000 0.5000 0.5000
Tc: 0.0000 0.0000 0.0000
Zr: 0.2500 0.2500 0.2500
V: 0.7500 0.7500 0.7500

Values from the calculation:
- total DFT energy (no corrections) (eV/cell) = -34.5
- energy relative to the elements (eV/atom) = -0.176
- magnetization (μB per atom) = 0.3763
- calculated volume (Å³/cell) = 61.3
- SG = No. 216